Crystalline NpNi2Au at its relaxed geometry. Source: the Alexandria database, functional PBE.

abc: 4.5218 4.5218 4.5218
angles: 60.00 60.00 60.00
Last column: nearest neighbours and their distance in Å.
Fractional positions:
Ni 0.7500 0.7500 0.7500  4 Np 2.77, 4 Au 2.77
Ni 0.2500 0.2500 0.2500  4 Np 2.77, 4 Au 2.77
Np 0.0000 0.0000 0.0000  8 Ni 2.77
Au 0.5000 0.5000 0.5000  8 Ni 2.77

Computed properties:
The calculation puts the spin magnetization at 3.1 μB/f.u. The formation energy is -0.01 eV per atom. As for the density of states at the Fermi level: 2.35 states/eV per atom. As for the total energy: -27.82 eV per formula unit. The calculation puts the energy above the lowest structure with this stoichiometry at 0.0 kJ per mole of atoms.


Crystalline NpNi8Au3 at its relaxed geometry. Source: the Alexandria database, functional PBE.

abc: 4.9042 4.9042 7.8808
angles: 90.00 90.00 120.00
Last column: nearest neighbours and their distance in Å.
Fractional positions:
Ni 0.3333 0.6667 0.4999  6 Ni 2.43-2.44
Ni 0.1655 0.3309 0.2505  6 Ni 2.43-2.47
Ni 0.1655 0.8345 0.2505  6 Ni 2.43-2.47
Ni 0.9957 0.4979 0.7504  6 Ni 2.42-2.48
Ni 0.5021 0.4979 0.7504  6 Ni 2.42-2.48
Ni 0.5021 0.0043 0.7504  6 Ni 2.42-2.48
Ni 0.3333 0.6667 0.9976  6 Ni 2.42-2.45
Ni 0.6691 0.8345 0.2505  6 Ni 2.43-2.47
Np 0.0000 0.0000 0.5650  12 Ni 2.85-2.88, 4 Au 3.04
Au 0.6667 0.3333 0.4258  12 Ni 2.81-2.91, 1 Au 2.90, 3 Np 3.04
Au 0.6667 0.3333 0.0584  12 Ni 2.80-2.88, 4 Au 2.90-2.96
Au 0.0000 0.0000 0.9506  12 Ni 2.75-2.92, 3 Au 2.96, 1 Np 3.04

Computed properties:
The calculation puts the spin magnetization at 0.4 μB/f.u. The formation energy is -0.02 eV per atom. As for the density of states at the Fermi level: 1.67 states/eV per atom. As for the total energy: -69.29 eV per formula unit.


Crystalline NpNi2Au at its relaxed geometry. Source: the Alexandria database, functional PBE.

abc: 3.4063 4.3762 4.3762
angles: 90.00 90.00 90.00
Last column: nearest neighbours and their distance in Å.
Fractional positions:
Ni 0.0000 0.5000 0.0000  4 Np 2.77, 4 Au 2.77, 4 Ni 3.09
Ni 0.0000 0.0000 0.5000  4 Np 2.77, 4 Au 2.77, 4 Ni 3.09
Au 0.5000 0.5000 0.5000  8 Ni 2.77, 4 Np 3.09
Np 0.5000 0.0000 0.0000  8 Ni 2.77, 4 Au 3.09

Computed properties:
The calculation puts the spin magnetization at 3.7 μB/f.u. The formation energy is 0.06 eV per atom. As for the density of states at the Fermi level: 1.72 states/eV per atom. As for the total energy: -27.52 eV per formula unit. The calculation puts the energy above the lowest structure with this stoichiometry at 7.0 kJ per mole of atoms.


Crystalline NpPaNiAu at its relaxed geometry. Source: the Alexandria database, functional PBE.

abc: 4.7460 4.7460 4.7460
angles: 60.00 60.00 60.00
Last column: nearest neighbours and their distance in Å.
Fractional positions:
Ni 0.5000 0.5000 0.5000  4 Au 2.91, 4 Pa 2.91
Au 0.2500 0.2500 0.2500  4 Ni 2.91, 4 Np 2.91
Pa 0.7500 0.7500 0.7500  4 Np 2.91, 4 Ni 2.91
Np 0.0000 0.0000 0.0000  4 Pa 2.91, 4 Au 2.91

Computed properties:
The calculation puts the spin magnetization at 5.0 μB/f.u. The formation energy is -0.21 eV per atom. As for the density of states at the Fermi level: 1.04 states/eV per atom. As for the total energy: -32.32 eV per formula unit.


Crystalline NpNiRhAu at its relaxed geometry. Source: the Alexandria database, functional PBE.

abc: 4.5959 4.5959 4.5959
angles: 60.00 60.00 60.00
Last column: nearest neighbours and their distance in Å.
Fractional positions:
Rh 0.7500 0.7500 0.7500  4 Np 2.81, 4 Au 2.81
Au 0.0000 0.0000 0.0000  4 Ni 2.81, 4 Rh 2.81
Ni 0.2500 0.2500 0.2500  4 Np 2.81, 4 Au 2.81
Np 0.5000 0.5000 0.5000  4 Rh 2.81, 4 Ni 2.81

Computed properties:
The calculation puts the spin magnetization at 3.2 μB/f.u. The formation energy is -0.13 eV per atom. As for the density of states at the Fermi level: 1.96 states/eV per atom. As for the total energy: -29.89 eV per formula unit.


Q: Look up the formation energy of the first one.
A: -0.01 eV per atom


Q: Which of these has the lowest formation energy?
A: NpPaNiAu